Entry 1:
DFT (PBE) results for an optimized crystal structure of NdMgP2Pt5.

Structure (POSCAR):
```
NdMgP2Pt5
1.0
-1.5192 2.9260 2.5127
-2.8074 1.0128 -2.8768
-6.5155 -6.7903 3.9676
P Pt Mg Nd
2 5 1 1
direct
0.5000 0.5000 0.7218
0.5000 0.5000 0.2782
0.5000 0.0000 0.8234
0.0000 0.5000 0.8234
0.5000 0.0000 0.1766
0.5000 0.5000 0.5000
0.0000 0.5000 0.1766
0.0000 0.0000 0.0000
0.0000 0.0000 0.5000
```

N(E_F) = 0.58 states/eV/atom
energy relative to the elements = -6.43 eV per formula unit


Entry 2:
DFT (PBE) results for an optimized crystal structure of NdMgP2Rh5.

Structure (POSCAR):
```
NdMgP2Rh5
1.0
4.1530 0.0000 0.0000
0.0000 4.1530 0.0000
0.0000 0.0000 9.4262
Rh P Nd Mg
5 2 1 1
direct
0.5000 0.5000 0.5000
0.5000 0.0000 0.1679
0.0000 0.5000 0.8321
0.5000 0.0000 0.8321
0.0000 0.5000 0.1679
0.5000 0.5000 0.7388
0.5000 0.5000 0.2612
0.0000 0.0000 0.5000
0.0000 0.0000 0.0000
```

N(E_F) = 0.37 states/eV/atom
energy relative to the elements = -5.48 eV per formula unit


Entry 3:
DFT (PBE) results for an optimized crystal structure of Nd2MgP3Rh4.

Structure (POSCAR):
```
Nd2MgP3Rh4
1.0
-3.0543 2.4454 -0.9803
-2.4898 -3.1698 -0.1501
-2.2618 1.2904 10.2664
Rh Nd P Mg
4 2 3 1
direct
0.0000 0.5000 0.3488
0.0000 0.0000 0.0000
0.5000 0.5000 0.0000
0.5000 0.0000 0.6512
0.5000 0.0000 0.2423
0.0000 0.5000 0.7577
0.5000 0.0000 0.8701
0.0000 0.0000 0.5000
0.0000 0.5000 0.1299
0.5000 0.5000 0.5000
```

N(E_F) = 0.41 states/eV/atom
energy relative to the elements = -10.04 eV per formula unit


Entry 4:
DFT (PBE) results for an optimized crystal structure of NdMg4Pa.

Structure (POSCAR):
```
NdMg4Pa
1.0
5.9940 0.0000 0.0000
2.9970 5.1909 0.0000
2.9970 1.7303 4.8941
Mg Nd Pa
4 1 1
direct
0.6248 0.6248 0.1257
0.6248 0.6248 0.6248
0.6248 0.1257 0.6248
0.1257 0.6248 0.6248
0.0000 0.0000 0.0000
0.2500 0.2500 0.2500
```

N(E_F) = 1.02 states/eV/atom
energy relative to the elements = 0.88 eV per formula unit


Entry 5:
DFT (PBE) results for an optimized crystal structure of PrNdMgPa.

Structure (POSCAR):
```
PrNdMgPa
1.0
5.5084 0.0000 0.0000
2.7542 4.7704 0.0000
2.7542 1.5901 4.4976
Nd Pa Pr Mg
1 1 1 1
direct
0.7500 0.7500 0.7500
0.5000 0.5000 0.5000
0.2500 0.2500 0.2500
0.0000 0.0000 0.0000
```

N(E_F) = 2.16 states/eV/atom
energy relative to the elements = 1.37 eV per formula unit


Entry 6:
DFT (PBE) results for an optimized crystal structure of Nd2MgPa2Ru5.

Structure (POSCAR):
```
Nd2MgPa2Ru5
1.0
3.3357 0.0000 0.0000
0.0000 11.1227 0.0000
0.0000 0.0000 11.1227
Ru Pa Nd Mg
10 4 4 2
direct
0.5000 0.7094 0.4521
0.5000 0.2094 0.0479
0.5000 0.0479 0.7906
0.5000 0.7906 0.9521
0.5000 0.5479 0.7094
0.5000 0.0000 0.5000
0.5000 0.2906 0.5479
0.5000 0.9521 0.2094
0.5000 0.5000 0.0000
0.5000 0.4521 0.2906
0.0000 0.6524 0.8476
0.0000 0.8476 0.3476
0.0000 0.3476 0.1524
0.0000 0.1524 0.6524
0.0000 0.3391 0.8391
0.0000 0.6609 0.1609
0.0000 0.8391 0.6609
0.0000 0.1609 0.3391
0.0000 0.5000 0.5000
0.0000 0.0000 0.0000
```

N(E_F) = 0.87 states/eV/atom
energy relative to the elements = -1.61 eV per formula unit


Entry 7:
DFT (PBE) results for an optimized crystal structure of Nd2MgPb9.

Structure (POSCAR):
```
Nd2MgPb9
1.0
-2.5641 2.7450 3.0357
-4.0334 -1.0872 -2.4237
-2.1974 -12.0989 9.0842
Pb Nd Mg
9 2 1
direct
0.5000 0.5000 0.6717
0.0000 0.5000 0.8381
0.0000 0.5000 0.1619
0.5000 0.5000 0.0000
0.5000 0.0000 0.8381
0.5000 0.5000 0.3283
0.5000 0.0000 0.1619
0.0000 0.5000 0.5000
0.5000 0.0000 0.5000
0.0000 0.0000 0.3390
0.0000 0.0000 0.6610
0.0000 0.0000 0.0000
```

N(E_F) = 0.52 states/eV/atom
energy relative to the elements = -2.91 eV per formula unit


Entry 8:
DFT (PBE) results for an optimized crystal structure of Nd3Mg2Pb4.

Structure (POSCAR):
```
Nd3Mg2Pb4
1.0
-0.0763 -4.7438 0.0853
4.9311 2.3658 4.0008
-8.6677 0.2145 4.1777
Mg Nd Pb
2 3 4
direct
0.6877 0.3755 0.3625
0.3123 0.6245 0.6375
0.3704 0.7409 0.3055
0.0000 0.0000 0.0000
0.6296 0.2591 0.6945
0.6982 0.3963 0.0673
0.9298 0.8596 0.6132
0.3018 0.6037 0.9327
0.0702 0.1404 0.3868
```

N(E_F) = 0.51 states/eV/atom
energy relative to the elements = -3.61 eV per formula unit


Entry 9:
DFT (PBE) results for an optimized crystal structure of NdMg2Pb3.

Structure (POSCAR):
```
NdMg2Pb3
1.0
-5.3120 -2.8151 1.5788
-0.4316 -3.2722 -7.2869
3.9430 -6.8910 0.9793
Pb Mg Nd
6 4 2
direct
0.7500 0.2730 0.3906
0.2500 0.7943 0.2057
0.7500 0.2057 0.7943
0.7500 0.6094 0.7270
0.2500 0.3906 0.2730
0.2500 0.7270 0.6094
0.5000 0.1257 0.1257
0.0000 0.1257 0.1257
0.5000 0.8743 0.8743
0.0000 0.8743 0.8743
0.2500 0.2993 0.7007
0.7500 0.7007 0.2993
```

N(E_F) = 0.47 states/eV/atom
energy relative to the elements = -0.21 eV per formula unit


Entry 10:
DFT (PBE) results for an optimized crystal structure of Nd2MgPb5.

Structure (POSCAR):
```
Nd2MgPb5
1.0
-4.6850 0.0036 -1.6898
0.5949 -6.5878 -1.6636
-4.4670 -3.5290 12.3777
Nd Pb Mg
4 10 2
direct
0.5000 0.7193 0.6337
0.5000 0.2193 0.8663
0.5000 0.2807 0.3663
0.5000 0.7807 0.1337
0.0000 0.5232 0.2431
0.5000 0.2207 0.6151
0.5000 0.7793 0.3849
0.0000 0.0000 0.0000
0.0000 0.4768 0.7569
0.5000 0.2793 0.1151
0.0000 0.0232 0.2569
0.0000 0.5000 0.5000
0.0000 0.9768 0.7431
0.5000 0.7207 0.8849
0.0000 0.0000 0.5000
0.0000 0.5000 0.0000
```

N(E_F) = 0.42 states/eV/atom
energy relative to the elements = -3.13 eV per formula unit